RbCa3O | PBE-GGA | optimized geometry

The space group is Pm-3m (No. 221) and the conventional cell measures 5.392, 5.392 and 5.392 Å, with angles of 90.00, 90.00 and 90.00 degrees. The asymmetric unit holds Rb at (0.000, 0.000, 0.000), Ca at (0.000, 0.500, 0.500) and O at (0.500, 0.500, 0.500).

As for the energy relative to the lowest polymorph listed for this composition: 0.00 eV per formula unit. The energy relative to the elements, uncorrected comes out at -628 meV/atom.